First-principles (SCAN) data for a crystal of InTc2BAu relaxed with PBEsol, as listed in Alexandria via LeMat-Bulk.

```
InTc2BAu
1.0
4.9605 0.0000 0.0000
0.0000 4.9605 0.0000
0.0000 0.0000 4.9520
In Tc B Au
1 2 1 1
Direct
0.0000 0.0000 0.0000
0.0000 0.5000 0.5000
0.5000 0.0000 0.5000
0.5000 0.5000 0.0000
0.0000 0.0000 0.5000
```

Calculated values
ΔE_f = 2.315 eV/atom